1.
A plane-wave DFT calculation with PBE was carried out for a relaxed structure of Tm3Cu5Te12.

Results
Energy in eV/atom: -3.978
Formation energy without anion corrections in eV/atom: -0.399
Magnetization in μB per formula unit: 0.0

Cell lengths 14.322, 14.322, 14.322 Å; angles 109.47, 109.47, 109.47 degrees
Element x y z (fractional)
Tm (0.125, 0.250, 0.375)
Tm (0.125, 0.375, 0.750)
Tm (0.250, 0.375, 0.125)
Tm (0.250, 0.875, 0.625)
Tm (0.375, 0.125, 0.250)
Tm (0.375, 0.750, 0.125)
Tm (0.625, 0.250, 0.875)
Tm (0.625, 0.875, 0.750)
Tm (0.750, 0.125, 0.375)
Tm (0.750, 0.625, 0.875)
Tm (0.875, 0.625, 0.250)
Tm (0.875, 0.750, 0.625)
Cu (0.000, 0.000, 0.000)
Cu (0.000, 0.000, 0.500)
Cu (0.000, 0.500, 0.000)
Cu (0.000, 0.500, 0.500)
Cu (0.125, 0.750, 0.875)
Cu (0.125, 0.875, 0.250)
Cu (0.250, 0.125, 0.875)
Cu (0.250, 0.625, 0.375)
Cu (0.375, 0.250, 0.625)
Cu (0.375, 0.625, 0.750)
Cu (0.500, 0.000, 0.000)
Cu (0.500, 0.000, 0.500)
Cu (0.500, 0.500, 0.000)
Cu (0.500, 0.500, 0.500)
Cu (0.625, 0.375, 0.250)
Cu (0.625, 0.750, 0.375)
Cu (0.750, 0.375, 0.625)
Cu (0.750, 0.875, 0.125)
Cu (0.875, 0.125, 0.750)
Cu (0.875, 0.250, 0.125)
Te (0.036, 0.211, 0.124)
Te (0.036, 0.325, 0.911)
Te (0.087, 0.711, 0.675)
Te (0.087, 0.876, 0.411)
Te (0.089, 0.624, 0.413)
Te (0.089, 0.964, 0.675)
Te (0.124, 0.036, 0.211)
Te (0.124, 0.589, 0.913)
Te (0.175, 0.211, 0.587)
Te (0.175, 0.464, 0.589)
Te (0.211, 0.124, 0.036)
Te (0.211, 0.587, 0.175)
Te (0.289, 0.325, 0.913)
Te (0.289, 0.464, 0.376)
Te (0.325, 0.911, 0.036)
Te (0.325, 0.913, 0.289)
Te (0.376, 0.289, 0.464)
Te (0.376, 0.587, 0.911)
Te (0.411, 0.087, 0.876)
Te (0.411, 0.825, 0.536)
Te (0.413, 0.089, 0.624)
Te (0.413, 0.825, 0.789)
Te (0.464, 0.376, 0.289)
Te (0.464, 0.589, 0.175)
Te (0.536, 0.411, 0.825)
Te (0.536, 0.624, 0.711)
Te (0.587, 0.175, 0.211)
Te (0.587, 0.911, 0.376)
Te (0.589, 0.175, 0.464)
Te (0.589, 0.913, 0.124)
Te (0.624, 0.413, 0.089)
Te (0.624, 0.711, 0.536)
Te (0.675, 0.087, 0.711)
Te (0.675, 0.089, 0.964)
Te (0.711, 0.536, 0.624)
Te (0.711, 0.675, 0.087)
Te (0.789, 0.413, 0.825)
Te (0.789, 0.876, 0.964)
Te (0.825, 0.536, 0.411)
Te (0.825, 0.789, 0.413)
Te (0.876, 0.411, 0.087)
Te (0.876, 0.964, 0.789)
Te (0.911, 0.036, 0.325)
Te (0.911, 0.376, 0.587)
Te (0.913, 0.124, 0.589)
Te (0.913, 0.289, 0.325)
Te (0.964, 0.675, 0.089)
Te (0.964, 0.789, 0.876)

2.
A plane-wave DFT calculation with PBE was carried out for a relaxed structure of Ge3ICl.

Results
E above lowest polymorph in meV/atom: 233
Energy in eV/atom: -2.414
Formation energy without anion corrections in eV/atom: 1.036
Magnetization in μB per formula unit: 0.0

Cell lengths 5.587, 5.587, 5.587 Å; angles 90.00, 90.00, 90.00 degrees
Element x y z (fractional)
Ge (0.000, 0.000, 0.500)
Ge (0.000, 0.500, 0.000)
Ge (0.500, 0.000, 0.000)
I (0.000, 0.000, 0.000)
Cl (0.500, 0.500, 0.500)

3.
A plane-wave DFT calculation with PBE was carried out for a relaxed structure of Ba3Nd2UAs6.

Results
Energy in eV/atom: -5.699
Magnetization in μB per formula unit: 0.0
Formation energy from the elements in eV/atom: -1.158

Cell lengths 7.589, 7.589, 7.925 Å; angles 99.20, 99.20, 119.98 degrees
Element x y z (fractional)
Ba (0.000, 0.000, 0.000)
Ba (0.329, 0.671, 0.000)
Ba (0.671, 0.329, 0.000)
Nd (0.166, 0.834, 0.500)
Nd (0.834, 0.166, 0.500)
U (0.500, 0.500, 0.500)
As (0.121, 0.431, 0.293)
As (0.260, 0.260, 0.708)
As (0.431, 0.121, 0.293)
As (0.569, 0.879, 0.707)
As (0.740, 0.740, 0.292)
As (0.879, 0.569, 0.707)

4.
A plane-wave DFT calculation with PBE was carried out for a relaxed structure of Pm3Pt2Au3.

Results
E above lowest polymorph in meV/atom: 10
Energy in eV/atom: -5.432
Magnetization in μB per formula unit: 0.0
Formation energy from the elements in eV/atom: -0.911

Cell lengths 7.501, 17.542, 5.594 Å; angles 90.00, 90.00, 90.00 degrees
Element x y z (fractional)
Pm (0.033, 0.106, 0.125)
Pm (0.033, 0.394, 0.125)
Pm (0.160, 0.250, 0.651)
Pm (0.340, 0.750, 0.151)
Pm (0.467, 0.606, 0.625)
Pm (0.467, 0.894, 0.625)
Pm (0.533, 0.106, 0.375)
Pm (0.533, 0.394, 0.375)
Pm (0.660, 0.250, 0.849)
Pm (0.840, 0.750, 0.349)
Pm (0.967, 0.606, 0.875)
Pm (0.967, 0.894, 0.875)
Pt (0.115, 0.624, 0.371)
Pt (0.115, 0.876, 0.371)
Pt (0.385, 0.124, 0.871)
Pt (0.385, 0.376, 0.871)
Pt (0.615, 0.624, 0.129)
Pt (0.615, 0.876, 0.129)
Pt (0.885, 0.124, 0.629)
Pt (0.885, 0.376, 0.629)
Au (0.186, 0.026, 0.588)
Au (0.186, 0.474, 0.588)
Au (0.187, 0.750, 0.670)
Au (0.313, 0.250, 0.170)
Au (0.314, 0.526, 0.088)
Au (0.314, 0.974, 0.088)
Au (0.686, 0.026, 0.912)
Au (0.686, 0.474, 0.912)
Au (0.687, 0.750, 0.830)
Au (0.813, 0.250, 0.330)
Au (0.814, 0.526, 0.412)
Au (0.814, 0.974, 0.412)

5.
A plane-wave DFT calculation with PBE was carried out for a relaxed structure of Sr2LiCl.

Results
E above lowest polymorph in meV/atom: 0
Energy in eV/atom: -2.570
Formation energy without anion corrections in eV/atom: -0.789
Magnetization in μB per formula unit: 0.0

Cell lengths 4.391, 3.998, 8.863 Å; angles 90.00, 90.32, 90.00 degrees
Element x y z (fractional)
Sr (0.003, 0.000, 0.237)
Sr (0.997, 0.000, 0.763)
Li (0.500, 0.500, 0.000)
Cl (0.000, 0.500, 0.500)

6.
A plane-wave DFT calculation with PBE was carried out for a relaxed structure of Y2InAu.

Results
Energy in eV/atom: -5.056
Magnetization in μB per formula unit: 0.0
Formation energy from the elements in eV/atom: -0.320

Cell lengths 8.075, 8.075, 6.979 Å; angles 90.00, 90.00, 90.00 degrees
Element x y z (fractional)
Y (0.219, 0.250, 0.125)
Y (0.250, 0.719, 0.375)
Y (0.250, 0.781, 0.875)
Y (0.281, 0.250, 0.625)
Y (0.719, 0.750, 0.625)
Y (0.750, 0.219, 0.875)
Y (0.750, 0.281, 0.375)
Y (0.781, 0.750, 0.125)
In (0.000, 0.000, 0.500)
In (0.000, 0.500, 0.750)
In (0.500, 0.000, 0.250)
In (0.500, 0.500, 0.000)
Au (0.000, 0.000, 0.000)
Au (0.000, 0.500, 0.250)
Au (0.500, 0.000, 0.750)
Au (0.500, 0.500, 0.500)

7.
A plane-wave DFT calculation with PBE was carried out for a relaxed structure of TaMn2Re2.

Results
Energy in eV/atom: -10.937
Magnetization in μB per formula unit: 0.0
Formation energy from the elements in eV/atom: 0.080

Cell lengths 7.116, 7.116, 2.788 Å; angles 90.00, 90.00, 90.00 degrees
Element x y z (fractional)
Ta (0.000, 0.000, 0.000)
Ta (0.500, 0.500, 0.000)
Mn (0.130, 0.370, 0.000)
Mn (0.370, 0.870, 0.000)
Mn (0.630, 0.130, 0.000)
Mn (0.870, 0.630, 0.000)
Re (0.166, 0.666, 0.500)
Re (0.334, 0.166, 0.500)
Re (0.666, 0.834, 0.500)
Re (0.834, 0.334, 0.500)

8.
A plane-wave DFT calculation with PBE was carried out for a relaxed structure of K2HfTe6Au2.

Results
Energy in eV/atom: -3.836
Formation energy without anion corrections in eV/atom: -0.423
Magnetization in μB per formula unit: 0.0

Cell lengths 8.030, 8.030, 8.718 Å; angles 117.12, 117.12, 60.65 degrees
Element x y z (fractional)
K (0.241, 0.241, 0.223)
K (0.759, 0.759, 0.777)
Hf (0.000, 0.000, 0.500)
Te (0.200, 0.762, 0.228)
Te (0.237, 0.237, 0.769)
Te (0.238, 0.800, 0.772)
Te (0.762, 0.200, 0.228)
Te (0.763, 0.763, 0.231)
Te (0.800, 0.238, 0.772)
Au (0.410, 0.410, 0.720)
Au (0.590, 0.590, 0.280)

9.
A plane-wave DFT calculation with PBE was carried out for a relaxed structure of Sc2CuB.

Results
Energy in eV/atom: -5.302
Magnetization in μB per formula unit: 0.0
Formation energy from the elements in eV/atom: 0.558

Cell lengths 5.391, 5.391, 12.181 Å; angles 90.00, 90.00, 90.00 degrees
Element x y z (fractional)
Sc (0.184, 0.250, 0.125)
Sc (0.250, 0.684, 0.375)
Sc (0.250, 0.816, 0.875)
Sc (0.316, 0.250, 0.625)
Sc (0.684, 0.750, 0.625)
Sc (0.750, 0.184, 0.875)
Sc (0.750, 0.316, 0.375)
Sc (0.816, 0.750, 0.125)
Cu (0.000, 0.000, 0.500)
Cu (0.000, 0.500, 0.750)
Cu (0.500, 0.000, 0.250)
Cu (0.500, 0.500, 0.000)
B (0.000, 0.000, 0.000)
B (0.000, 0.500, 0.250)
B (0.500, 0.000, 0.750)
B (0.500, 0.500, 0.500)

10.
A plane-wave DFT calculation with PBE was carried out for a relaxed structure of Mn2TcHPt.

Results
E above lowest polymorph in meV/atom: 1574
Energy in eV/atom: -6.065
Magnetization in μB per formula unit: 6.6

Cell lengths 4.960, 4.960, 4.876 Å; angles 90.00, 90.00, 90.00 degrees
Element x y z (fractional)
Mn (0.000, 0.500, 0.000)
Mn (0.500, 0.000, 0.000)
Tc (0.000, 0.000, 0.500)
H (0.500, 0.500, 0.500)
Pt (0.000, 0.000, 0.000)

11.
A plane-wave DFT calculation with PBE was carried out for a relaxed structure of Tm2BHPt6.

Results
Energy in eV/atom: -6.379
Magnetization in μB per formula unit: 0.0

Cell lengths 5.790, 5.795, 6.210 Å; angles 90.13, 117.28, 119.80 degrees
Element x y z (fractional)
Tm (0.000, 0.000, 0.000)
Tm (0.028, 0.514, 0.548)
B (0.520, 0.259, 0.778)
H (0.708, 0.851, 0.562)
Pt (0.006, 0.003, 0.489)
Pt (0.027, 0.514, 0.039)
Pt (0.482, 0.480, 0.489)
Pt (0.483, 0.001, 0.490)
Pt (0.523, 0.010, 0.037)
Pt (0.523, 0.514, 0.036)

12.
A plane-wave DFT calculation with PBE was carried out for a relaxed structure of Pa2Ni2Sb.

Results
E above lowest polymorph in meV/atom: 0
Energy in eV/atom: -7.440
Formation energy without anion corrections in eV/atom: -0.505
Magnetization in μB per formula unit: 0.0

Cell lengths 7.077, 7.077, 3.919 Å; angles 90.00, 90.00, 90.00 degrees
Element x y z (fractional)
Pa (0.167, 0.333, 0.000)
Pa (0.333, 0.833, 0.000)
Pa (0.667, 0.167, 0.000)
Pa (0.833, 0.667, 0.000)
Ni (0.129, 0.629, 0.500)
Ni (0.371, 0.129, 0.500)
Ni (0.629, 0.871, 0.500)
Ni (0.871, 0.371, 0.500)
Sb (0.000, 0.000, 0.500)
Sb (0.500, 0.500, 0.500)

Look up the magnetization of the seventh one.
0.0 μB per formula unit